# 1
## Na4InSbPt2 (PBE-GGA)

Data for a relaxed Na4InSbPt2 crystal.

abc: 4.8214 4.8214 6.7908
angles: 90.00 90.00 90.00
Sites, in units of the cell vectors:
In (0.0000, 0.0000, 0.0000)
Na (0.5000, 0.5000, 0.0000)
Na (0.0000, 0.5000, 0.2464)
Na (0.0000, 0.0000, 0.5000)
Na (0.5000, 0.0000, 0.7536)
Pt (0.5000, 0.0000, 0.2574)
Pt (0.0000, 0.5000, 0.7426)
Sb (0.5000, 0.5000, 0.5000)

Calculated values
The calculation puts the raw total energy at -3.299 eV per atom. As for the volume: 19.73 A^3/atom.

=====

# 2
## Na2Sc2InSnPt2 (PBE-GGA)

Data for a relaxed Na2Sc2InSnPt2 crystal.

abc: 4.7445 4.7445 6.7321
angles: 90.00 90.00 90.00
Sites, in units of the cell vectors:
In (0.0000, 0.0000, 0.0000)
Na (0.5000, 0.0000, 0.2486)
Na (0.0000, 0.5000, 0.7514)
Pt (0.0000, 0.5000, 0.2521)
Pt (0.5000, 0.0000, 0.7479)
Sc (0.5000, 0.5000, 0.0000)
Sc (0.0000, 0.0000, 0.5000)
Sn (0.5000, 0.5000, 0.5000)

Calculated values
The calculation puts the raw total energy at -4.860 eV per atom. As for the volume: 18.94 A^3/atom.

=====

Q: Number 1 is which compound?
A: Na4InSbPt2